Record 1
# CdGaPb, optimized geometry, DFT GGA-PBE
data_CdGaPb
_chemical_formula_sum 'Cd4 Ga4 Pb4'
_cell_length_a 5.970
_cell_length_b 3.454
_cell_length_c 14.657
_cell_angle_alpha 90.00
_cell_angle_beta 97.62
_cell_angle_gamma 90.00
_space_group_name_H-M_alt 'C 1 2/m 1'
_space_group_IT_number 12
_space_group_name_Hall '-C 2y'
loop_
_atom_site_label
_atom_site_type_symbol
_atom_site_fract_x
_atom_site_fract_y
_atom_site_fract_z
Cd1 Cd 0.067 0.000 0.213
Ga1 Ga 0.144 0.500 0.935
Pb1 Pb 0.201 0.000 0.604
# Formation energy from the elements   0.0488 eV per atom

Record 2
# Sr2Pt, optimized geometry, DFT GGA-PBE
data_Sr2Pt
_chemical_formula_sum 'Sr8 Pt4'
_cell_length_a 7.396
_cell_length_b 7.396
_cell_length_c 7.396
_cell_angle_alpha 90.00
_cell_angle_beta 90.00
_cell_angle_gamma 90.00
_space_group_name_H-M_alt 'F m -3 m'
_space_group_IT_number 225
_space_group_name_Hall '-F 4 2 3'
loop_
_atom_site_label
_atom_site_type_symbol
_atom_site_fract_x
_atom_site_fract_y
_atom_site_fract_z
Sr1 Sr 0.250 0.250 0.250
Pt1 Pt 0.000 0.000 0.000
# Formation energy from the elements   -0.6751 eV per atom

Record 3
# SmY2Tl3, optimized geometry, DFT GGA-PBE
data_SmY2Tl3
_chemical_formula_sum 'Sm1 Y2 Tl3'
_cell_length_a 3.785
_cell_length_b 3.785
_cell_length_c 11.678
_cell_angle_alpha 90.00
_cell_angle_beta 90.00
_cell_angle_gamma 90.00
_space_group_name_H-M_alt 'P 4/m m m'
_space_group_IT_number 123
_space_group_name_Hall '-P 4 2'
loop_
_atom_site_label
_atom_site_type_symbol
_atom_site_fract_x
_atom_site_fract_y
_atom_site_fract_z
Sm1 Sm 0.000 0.000 0.000
Y1 Y 0.000 0.000 0.336
Tl1 Tl 0.500 0.500 0.173
Tl2 Tl 0.500 0.500 0.500
# Formation energy from the elements   -0.3818 eV per atom

Record 4
# CdCuTeN2, optimized geometry, DFT GGA-PBE
data_CdCuTeN2
_chemical_formula_sum 'Cd1 Cu1 Te1 N2'
_cell_length_a 4.027
_cell_length_b 4.027
_cell_length_c 5.609
_cell_angle_alpha 90.00
_cell_angle_beta 90.00
_cell_angle_gamma 90.00
_space_group_name_H-M_alt 'P 4/m m m'
_space_group_IT_number 123
_space_group_name_Hall '-P 4 2'
loop_
_atom_site_label
_atom_site_type_symbol
_atom_site_fract_x
_atom_site_fract_y
_atom_site_fract_z
Cd1 Cd 0.000 0.000 0.000
Cu1 Cu 0.500 0.500 0.500
Te1 Te 0.500 0.500 0.000
N1 N 0.000 0.500 0.500
# ΔE_f (raw)   1.389 eV per atom

Record 5
# TlAgI4, optimized geometry, DFT GGA-PBE
data_TlAgI4
_chemical_formula_sum 'Tl2 Ag2 I8'
_cell_length_a 8.263
_cell_length_b 8.263
_cell_length_c 9.578
_cell_angle_alpha 90.00
_cell_angle_beta 90.00
_cell_angle_gamma 90.00
_space_group_name_H-M_alt 'P 42/m m c'
_space_group_IT_number 131
_space_group_name_Hall '-P 4c 2'
loop_
_atom_site_label
_atom_site_type_symbol
_atom_site_fract_x
_atom_site_fract_y
_atom_site_fract_z
Tl1 Tl 0.000 0.500 0.000
Ag1 Ag 0.000 0.000 0.000
I1 I 0.218 0.257 0.500
# ΔE_f (raw)   -0.142 eV per atom

Record 6
# PrSmTlSn, optimized geometry, DFT GGA-PBE
data_PrSmTlSn
_chemical_formula_sum 'Pr2 Sm2 Tl2 Sn2'
_cell_length_a 4.438
_cell_length_b 4.694
_cell_length_c 11.812
_cell_angle_alpha 90.00
_cell_angle_beta 90.00
_cell_angle_gamma 90.00
_space_group_name_H-M_alt 'A m m 2'
_space_group_IT_number 38
_space_group_name_Hall 'A 2 -2'
loop_
_atom_site_label
_atom_site_type_symbol
_atom_site_fract_x
_atom_site_fract_y
_atom_site_fract_z
Pr1 Pr 0.000 0.000 0.000
Sm1 Sm 0.500 0.000 0.728
Tl1 Tl 0.500 0.000 0.453
Sn1 Sn 0.000 0.000 0.276
# Formation energy from the elements   -0.5767 eV per atom

Record 7
# YMgTa2As, optimized geometry, DFT GGA-PBE
data_YMgTa2As
_chemical_formula_sum 'Y1 Mg1 Ta2 As1'
_cell_length_a 4.822
_cell_length_b 4.822
_cell_length_c 5.293
_cell_angle_alpha 90.00
_cell_angle_beta 90.00
_cell_angle_gamma 90.00
_space_group_name_H-M_alt 'P 4/m m m'
_space_group_IT_number 123
_space_group_name_Hall '-P 4 2'
loop_
_atom_site_label
_atom_site_type_symbol
_atom_site_fract_x
_atom_site_fract_y
_atom_site_fract_z
Y1 Y 0.000 0.000 0.000
Mg1 Mg 0.500 0.500 0.000
Ta1 Ta 0.000 0.500 0.500
As1 As 0.000 0.000 0.500
# Formation energy from the elements   0.4369 eV per atom

Record 8
# MnHgRu2, optimized geometry, DFT GGA-PBE
data_MnHgRu2
_chemical_formula_sum 'Mn4 Hg4 Ru8'
_cell_length_a 7.023
_cell_length_b 7.023
_cell_length_c 5.282
_cell_angle_alpha 90.00
_cell_angle_beta 90.00
_cell_angle_gamma 90.00
_space_group_name_H-M_alt 'I -4 2 d'
_space_group_IT_number 122
_space_group_name_Hall 'I -4 2bw'
loop_
_atom_site_label
_atom_site_type_symbol
_atom_site_fract_x
_atom_site_fract_y
_atom_site_fract_z
Mn1 Mn 0.000 0.000 0.000
Hg1 Hg 0.000 0.000 0.500
Ru1 Ru 0.189 0.250 0.125
# Formation energy from the elements   0.7006 eV per atom

The records above yield VASP energy values of -0.1838; -0.2800; -0.3312; -0.2625; -0.1503; -0.3340; -0.5032; -0.4634 Ry/atom, respectively.
The records above yield DOS(E_F) values of 4.81; 1.54; 4.40; 2.57; 8.63; 7.95; 1.55; 12.78 states/eV/cell, respectively.